Record 1
## NaMg2BiSb (PBE-GGA)

Data for crystalline NaMg2BiSb at its relaxed geometry.

ΔE_f (raw) in eV per atom: -0.245
E in eV/atom: -2.7470

The structure in CIF format:
```
data_NaMg2BiSb
_chemical_formula_sum 'Na1 Mg2 Bi1 Sb1'
_cell_length_a 4.5466
_cell_length_b 4.5466
_cell_length_c 8.1189
_cell_angle_alpha 90.00
_cell_angle_beta 90.00
_cell_angle_gamma 90.00
_symmetry_space_group_name_H-M 'P 4 m m'
_symmetry_Int_Tables_number 99
_symmetry_space_group_name_Hall 'P 4 -2'
loop_
_atom_site_label
_atom_site_type_symbol
_atom_site_fract_x
_atom_site_fract_y
_atom_site_fract_z
Na1 Na 0.0000 0.0000 0.0000
Mg1 Mg 0.0000 0.5000 0.4009
Bi1 Bi 0.5000 0.5000 0.1490
Sb1 Sb 0.0000 0.0000 0.6165
```


Record 2
## NaMgBiSe3 (PBE-GGA)

Data for crystalline NaMgBiSe3 at its relaxed geometry.

ΔE_f (raw) in eV per atom: -0.872
E in eV/atom: -3.7471

The structure in CIF format:
```
data_NaMgBiSe3
_chemical_formula_sum 'Na2 Mg2 Bi2 Se6'
_cell_length_a 7.5882
_cell_length_b 4.2235
_cell_length_c 10.7660
_cell_angle_alpha 90.00
_cell_angle_beta 100.62
_cell_angle_gamma 90.00
_symmetry_space_group_name_H-M 'P 1 21/m 1'
_symmetry_Int_Tables_number 11
_symmetry_space_group_name_Hall '-P 2yb'
loop_
_atom_site_label
_atom_site_type_symbol
_atom_site_fract_x
_atom_site_fract_y
_atom_site_fract_z
Na1 Na 0.1332 0.2500 0.1708
Mg1 Mg 0.1561 0.7500 0.5746
Bi1 Bi 0.4025 0.2500 0.8377
Se1 Se 0.0078 0.2500 0.6615
Se2 Se 0.2601 0.7500 0.0040
Se3 Se 0.4910 0.7500 0.6739
```


Record 3
## Na3MgBi3Se8 (PBE-GGA)

Data for crystalline Na3MgBi3Se8 at its relaxed geometry.

ΔE_f (raw) in eV per atom: -0.644
E in eV/atom: -3.6487

The structure in CIF format:
```
data_Na3MgBi3Se8
_chemical_formula_sum 'Na6 Mg2 Bi6 Se16'
_cell_length_a 14.1485
_cell_length_b 8.1758
_cell_length_c 8.7140
_cell_angle_alpha 90.00
_cell_angle_beta 122.73
_cell_angle_gamma 90.00
_symmetry_space_group_name_H-M 'C 1 2/m 1'
_symmetry_Int_Tables_number 12
_symmetry_space_group_name_Hall '-C 2y'
loop_
_atom_site_label
_atom_site_type_symbol
_atom_site_fract_x
_atom_site_fract_y
_atom_site_fract_z
Na1 Na 0.0000 0.0000 0.0000
Na2 Na 0.2500 0.2500 0.0000
Mg1 Mg 0.0000 0.0000 0.5000
Bi1 Bi 0.0000 0.5000 0.5000
Bi2 Bi 0.2500 0.2500 0.5000
Se1 Se 0.0046 0.2343 0.2796
Se2 Se 0.2297 0.0000 0.7204
Se3 Se 0.2460 0.5000 0.7379
```


Record 4
## NaMgSnBi2 (PBE-GGA)

Data for crystalline NaMgSnBi2 at its relaxed geometry.

E in eV/atom: -2.3988
Energy relative to the elements in eV per atom: 0.54

The structure in CIF format:
```
data_NaMgSnBi2
_chemical_formula_sum 'Na1 Mg1 Sn1 Bi2'
_cell_length_a 5.5467
_cell_length_b 5.5467
_cell_length_c 5.3208
_cell_angle_alpha 90.00
_cell_angle_beta 90.00
_cell_angle_gamma 90.00
_symmetry_space_group_name_H-M 'P 4/m m m'
_symmetry_Int_Tables_number 123
_symmetry_space_group_name_Hall '-P 4 2'
loop_
_atom_site_label
_atom_site_type_symbol
_atom_site_fract_x
_atom_site_fract_y
_atom_site_fract_z
Na1 Na 0.0000 0.0000 0.0000
Mg1 Mg 0.0000 0.0000 0.5000
Sn1 Sn 0.5000 0.5000 0.5000
Bi1 Bi 0.0000 0.5000 0.0000
```


Record 5
## Na2MgBiTe4 (PBE-GGA)

Data for crystalline Na2MgBiTe4 at its relaxed geometry.

ΔE_f (raw) in eV per atom: -0.594
E in eV/atom: -3.1787

The structure in CIF format:
```
data_Na2MgBiTe4
_chemical_formula_sum 'Na2 Mg1 Bi1 Te4'
_cell_length_a 7.7114
_cell_length_b 4.1441
_cell_length_c 8.1929
_cell_angle_alpha 90.00
_cell_angle_beta 106.18
_cell_angle_gamma 90.00
_symmetry_space_group_name_H-M 'P 1 2/m 1'
_symmetry_Int_Tables_number 10
_symmetry_space_group_name_Hall '-P 2y'
loop_
_atom_site_label
_atom_site_type_symbol
_atom_site_fract_x
_atom_site_fract_y
_atom_site_fract_z
Na1 Na 0.0000 0.0000 0.0000
Na2 Na 0.5000 0.5000 0.0000
Mg1 Mg 0.0000 0.5000 0.5000
Bi1 Bi 0.5000 0.0000 0.5000
Te1 Te 0.2324 0.0000 0.7280
Te2 Te 0.2384 0.5000 0.2731
```


Record 6
## NaMgBi2Te4 (PBE-GGA)

Data for crystalline NaMgBi2Te4 at its relaxed geometry.

ΔE_f (raw) in eV per atom: -0.440
E in eV/atom: -3.3458

The structure in CIF format:
```
data_NaMgBi2Te4
_chemical_formula_sum 'Na1 Mg1 Bi2 Te4'
_cell_length_a 7.6344
_cell_length_b 4.4489
_cell_length_c 8.1836
_cell_angle_alpha 90.00
_cell_angle_beta 110.92
_cell_angle_gamma 90.00
_symmetry_space_group_name_H-M 'P 1 2/m 1'
_symmetry_Int_Tables_number 10
_symmetry_space_group_name_Hall '-P 2y'
loop_
_atom_site_label
_atom_site_type_symbol
_atom_site_fract_x
_atom_site_fract_y
_atom_site_fract_z
Na1 Na 0.0000 0.0000 0.0000
Mg1 Mg 0.0000 0.5000 0.5000
Bi1 Bi 0.5000 0.0000 0.5000
Bi2 Bi 0.5000 0.5000 0.0000
Te1 Te 0.2273 0.5000 0.2785
Te2 Te 0.2563 0.0000 0.7410
```


Record 7
## NaMgTlBi (PBE-GGA)

Data for crystalline NaMgTlBi at its relaxed geometry.

E in eV/atom: -2.4880
Energy relative to the elements in eV per atom: -0.20

The structure in CIF format:
```
data_NaMgTlBi
_chemical_formula_sum 'Na4 Mg4 Tl4 Bi4'
_cell_length_a 7.6247
_cell_length_b 7.6247
_cell_length_c 7.6247
_cell_angle_alpha 90.00
_cell_angle_beta 90.00
_cell_angle_gamma 90.00
_symmetry_space_group_name_H-M 'F -4 3 m'
_symmetry_Int_Tables_number 216
_symmetry_space_group_name_Hall 'F -4 2 3'
loop_
_atom_site_label
_atom_site_type_symbol
_atom_site_fract_x
_atom_site_fract_y
_atom_site_fract_z
Na1 Na 0.0000 0.0000 0.0000
Mg1 Mg 0.0000 0.0000 0.5000
Tl1 Tl 0.2500 0.2500 0.2500
Bi1 Bi 0.2500 0.2500 0.7500
```


Record 8
## Na2Mg5Tl2Bi3 (PBE-GGA)

Data for crystalline Na2Mg5Tl2Bi3 at its relaxed geometry.

E in eV/atom: -2.3487
Energy relative to the elements in eV per atom: -0.10

The structure in CIF format:
```
data_Na2Mg5Tl2Bi3
_chemical_formula_sum 'Na4 Mg10 Tl4 Bi6'
_cell_length_a 4.5926
_cell_length_b 4.5926
_cell_length_c 33.6042
_cell_angle_alpha 90.00
_cell_angle_beta 90.00
_cell_angle_gamma 90.00
_symmetry_space_group_name_H-M 'I 4/m m m'
_symmetry_Int_Tables_number 139
_symmetry_space_group_name_Hall '-I 4 2'
loop_
_atom_site_label
_atom_site_type_symbol
_atom_site_fract_x
_atom_site_fract_y
_atom_site_fract_z
Na1 Na 0.0000 0.0000 0.2242
Mg1 Mg 0.0000 0.0000 0.5000
Mg2 Mg 0.0000 0.5000 0.0705
Tl1 Tl 0.0000 0.0000 0.3347
Bi1 Bi 0.0000 0.0000 0.0000
Bi2 Bi 0.0000 0.0000 0.1294
```


Record 9
## NaMgZnBi (PBE-GGA)

Data for crystalline NaMgZnBi at its relaxed geometry.

E in eV/atom: -2.1508
Energy relative to the elements in eV per atom: -0.13

The structure in CIF format:
```
data_NaMgZnBi
_chemical_formula_sum 'Na4 Mg4 Zn4 Bi4'
_cell_length_a 7.3055
_cell_length_b 7.3055
_cell_length_c 7.3055
_cell_angle_alpha 90.00
_cell_angle_beta 90.00
_cell_angle_gamma 90.00
_symmetry_space_group_name_H-M 'F -4 3 m'
_symmetry_Int_Tables_number 216
_symmetry_space_group_name_Hall 'F -4 2 3'
loop_
_atom_site_label
_atom_site_type_symbol
_atom_site_fract_x
_atom_site_fract_y
_atom_site_fract_z
Na1 Na 0.0000 0.0000 0.0000
Mg1 Mg 0.0000 0.0000 0.5000
Zn1 Zn 0.2500 0.2500 0.2500
Bi1 Bi 0.2500 0.2500 0.7500
```


Record 10
## Na2MgZnBi2 (PBE-GGA)

Data for crystalline Na2MgZnBi2 at its relaxed geometry.

E in eV/atom: -2.5053
Energy relative to the elements in eV per atom: -0.29

The structure in CIF format:
```
data_Na2MgZnBi2
_chemical_formula_sum 'Na8 Mg4 Zn4 Bi8'
_cell_length_a 6.4697
_cell_length_b 15.6390
_cell_length_c 6.6822
_cell_angle_alpha 90.00
_cell_angle_beta 90.00
_cell_angle_gamma 90.00
_symmetry_space_group_name_H-M 'I b a m'
_symmetry_Int_Tables_number 72
_symmetry_space_group_name_Hall '-I 2 2c'
loop_
_atom_site_label
_atom_site_type_symbol
_atom_site_fract_x
_atom_site_fract_y
_atom_site_fract_z
Na1 Na 0.2492 0.1721 0.0000
Mg1 Mg 0.0000 0.5000 0.2500
Zn1 Zn 0.0000 0.0000 0.2500
Bi1 Bi 0.2407 0.1158 0.5000
```


Number 1: spin magnetization 0.00 μB/cell, V 167.8 Å³ per cell. Number 2: spin magnetization 0.00 μB/cell, V 339.1 Å³ per cell. Number 3: spin magnetization 0.00 μB/cell, V 848.0 Å³ per cell. Number 4: spin magnetization 0.00 μB/cell, V 163.7 Å³ per cell. Number 5: spin magnetization 0.00 μB/cell, V 251.4 Å³ per cell. Number 6: spin magnetization 0.00 μB/cell, V 259.6 Å³ per cell. Number 7: spin magnetization 0.00 μB/cell, V 443.3 Å³ per cell. Number 8: spin magnetization 0.00 μB/cell, V 708.8 Å³ per cell. Number 9: spin magnetization 0.00 μB/cell, V 389.9 Å³ per cell. Number 10: spin magnetization 0.00 μB/cell, V 676.1 Å³ per cell.